CsAgB10H10 | the Alexandria database | PBEsol | optimized geometry; calculated total energy = -5.04 eV/atom; total moment = 0.0 μB/f.u.
1.0
9.6354 0.0000 0.0000
0.0000 10.7893 0.0000
0.0000 0.0000 8.8589
Cs Ag B H
4 4 40 40
Direct
0.1810 0.0652 0.2500
0.1810 0.4348 0.7500
0.8190 0.5652 0.2500
0.8190 0.9348 0.7500
0.4896 0.7500 0.0000
0.4896 0.7500 0.5000
0.5104 0.2500 0.0000
0.5104 0.2500 0.5000
0.1458 0.0836 0.7500
0.1458 0.4164 0.2500
0.1671 0.5491 0.1474
0.1671 0.5491 0.3526
0.1671 0.9509 0.6474
0.1671 0.9509 0.8526
0.2553 0.6685 0.2500
0.2553 0.8315 0.7500
0.2951 0.0767 0.6482
0.2951 0.0767 0.8518
0.2951 0.4233 0.1482
0.2951 0.4233 0.3518
0.3457 0.5790 0.1049
0.3457 0.5790 0.3951
0.3457 0.9210 0.6049
0.3457 0.9210 0.8951
0.4331 0.6484 0.2500
0.4331 0.8516 0.7500
0.4362 0.0095 0.7500
0.4362 0.4905 0.2500
0.5638 0.5095 0.7500
0.5638 0.9905 0.2500
0.5669 0.1484 0.2500
0.5669 0.3516 0.7500
0.6543 0.0790 0.1049
0.6543 0.0790 0.3951
0.6543 0.4210 0.6049
0.6543 0.4210 0.8951
0.7049 0.5767 0.6482
0.7049 0.5767 0.8518
0.7049 0.9233 0.1482
0.7049 0.9233 0.3518
0.7447 0.1685 0.2500
0.7447 0.3315 0.7500
0.8329 0.0491 0.1474
0.8329 0.0491 0.3526
0.8329 0.4509 0.6474
0.8329 0.4509 0.8526
0.8542 0.5836 0.7500
0.8542 0.9164 0.2500
0.0521 0.1575 0.7500
0.0521 0.3425 0.2500
0.0809 0.5789 0.0550
0.0809 0.5789 0.4450
0.0809 0.9211 0.5550
0.0809 0.9211 0.9450
0.2077 0.7282 0.7500
0.2077 0.7718 0.2500
0.3191 0.1581 0.5552
0.3191 0.1581 0.9448
0.3191 0.3419 0.0552
0.3191 0.3419 0.4448
0.3698 0.5948 0.5298
0.3698 0.5948 0.9702
0.3698 0.9052 0.0298
0.3698 0.9052 0.4702
0.4545 0.5633 0.7500
0.4545 0.9367 0.2500
0.4692 0.2213 0.2500
0.4692 0.2787 0.7500
0.5308 0.7213 0.2500
0.5308 0.7787 0.7500
0.5455 0.0633 0.7500
0.5455 0.4367 0.2500
0.6302 0.0948 0.5298
0.6302 0.0948 0.9702
0.6302 0.4052 0.0298
0.6302 0.4052 0.4702
0.6809 0.6581 0.5552
0.6809 0.6581 0.9448
0.6809 0.8419 0.0552
0.6809 0.8419 0.4448
0.7923 0.2282 0.7500
0.7923 0.2718 0.2500
0.9191 0.0789 0.0550
0.9191 0.0789 0.4450
0.9191 0.4211 0.5550
0.9191 0.4211 0.9450
0.9479 0.6575 0.7500
0.9479 0.8425 0.2500